No. 1
The following is a PBE calculation of Er3AgPd4 after structural relaxation, from the Alexandria database.

```
Er3AgPd4
1.0
-3.3230 -3.4212 0.6047
4.6906 -4.0335 2.9557
-2.2379 3.6920 8.5899
Er Pd Ag
6 8 2
direct
0.0000 0.0000 0.5000
0.0000 0.0000 0.0000
0.5020 0.5000 0.7500
0.4980 0.5000 0.2500
0.4992 0.0000 0.2500
0.5008 0.0000 0.7500
0.9978 0.7525 0.2500
0.9978 0.2475 0.2500
0.0022 0.7525 0.7500
0.0022 0.2475 0.7500
0.5000 0.7524 0.0000
0.5000 0.2476 0.0000
0.5000 0.2476 0.5000
0.5000 0.7524 0.5000
0.0000 0.5000 0.5000
0.0000 0.5000 0.0000
```

Properties
Total energy = -5.440 eV per atom
Energy of formation from the pure elements = -776 meV per atom
Calculated volume = 19.805 Å³ per atom
Total magnetization = 0.00 μB/cell

---

No. 2
The following is a PBE calculation of ErAg3Pd4 after structural relaxation, from the Alexandria database.

```
ErAg3Pd4
1.0
-0.2862 -1.3069 -4.0541
4.2592 -0.0427 -0.2886
-1.8911 -6.5734 4.4898
Er Pd Ag
1 4 3
direct
0.5000 0.0000 0.0000
0.3741 0.3742 0.7484
0.1258 0.1259 0.2516
0.6259 0.6258 0.2516
0.8742 0.8741 0.7484
0.0000 0.5000 0.0000
0.7511 0.2511 0.5027
0.2489 0.7489 0.4973
```

Properties
Total energy = -4.642 eV per atom
Energy of formation from the pure elements = -406 meV per atom
Calculated volume = 17.338 Å³ per atom
Total magnetization = 0.00 μB/cell

---

No. 3
The following is a PBE calculation of Er2AgPd4 after structural relaxation, from the Alexandria database.

```
Er2AgPd4
1.0
3.8687 0.0000 -0.9698
-0.2431 3.8610 -0.9698
0.3310 0.3525 9.5220
Pd Er Ag
4 2 1
direct
0.7500 0.2500 0.5000
0.2500 0.7500 0.5000
0.1455 0.1455 0.2909
0.8545 0.8545 0.7091
0.6213 0.6213 0.2425
0.3787 0.3787 0.7575
0.0000 0.0000 0.0000
```

Properties
Total energy = -5.303 eV per atom
Energy of formation from the pure elements = -625 meV per atom
Calculated volume = 20.696 Å³ per atom
ΔE to the lowest computed polymorph = 0.055 eV per atom
Total magnetization = 0.00 μB/cell

---

No. 4
The following is a PBE calculation of Er6AgPd2 after structural relaxation, from the Alexandria database.

```
Er6AgPd2
1.0
0.3563 -6.0553 -5.8314
2.4544 -2.7585 7.5608
-7.8950 2.7134 1.0515
Er Pd Ag
12 4 2
direct
0.1022 0.2825 0.8197
0.2983 0.9704 0.6721
0.2983 0.6263 0.3279
0.4628 0.2825 0.1803
0.7017 0.3737 0.6721
0.8085 0.7587 0.5672
0.1915 0.2413 0.4328
0.1915 0.7587 0.9501
0.5372 0.7175 0.8197
0.7017 0.0296 0.3279
0.8085 0.2413 0.0499
0.8978 0.7175 0.1803
0.5000 0.3668 0.8668
0.3416 0.0000 0.3416
0.5000 0.6332 0.1332
0.6584 0.0000 0.6584
0.0000 0.5000 0.5000
0.0000 0.0000 0.0000
```

Properties
Total energy = -5.002 eV per atom
Energy of formation from the pure elements = -490 meV per atom
Calculated volume = 25.383 Å³ per atom
Total magnetization = 0.00 μB/cell

---

No. 5
The following is a PBE calculation of Er2Ag4Pd3 after structural relaxation, from the Alexandria database.

```
Er2Ag4Pd3
1.0
-0.7155 0.3531 -4.1225
2.6988 -3.5987 -2.9151
-5.7396 -5.9948 -1.6558
Pd Ag Er
3 4 2
direct
0.0000 0.0000 0.0000
0.3383 0.7680 0.5554
0.6617 0.2320 0.4446
0.9982 0.6658 0.3378
0.3326 0.4449 0.8900
0.6674 0.5551 0.1100
0.0018 0.3342 0.6622
0.6692 0.8964 0.7652
0.3308 0.1036 0.2348
```

Properties
Total energy = -4.502 eV per atom
Energy of formation from the pure elements = -490 meV per atom
Calculated volume = 18.619 Å³ per atom
Total magnetization = 0.00 μB/cell

---

No. 6
The following is a PBE calculation of Er2Ag2Pd3 after structural relaxation, from the Alexandria database.

```
Er2Ag2Pd3
1.0
4.1259 -0.0058 -1.1573
-2.3568 4.6180 -0.5031
-0.1228 -1.0624 7.5658
Pd Er Ag
3 2 2
direct
0.4750 0.1485 0.8027
0.5250 0.8515 0.1973
0.0000 0.0000 0.0000
0.1628 0.5410 0.7858
0.8372 0.4590 0.2142
0.3065 0.1800 0.4306
0.6935 0.8200 0.5694
```

Properties
Total energy = -4.971 eV per atom
Energy of formation from the pure elements = -627 meV per atom
Calculated volume = 19.756 Å³ per atom
ΔE to the lowest computed polymorph = 0.024 eV per atom
Total magnetization = 0.00 μB/cell